Record 1
# ScTaAl | Alexandria | GGA-PBE | optimized geometry
# Crystal system: cubic
# Energy of formation: 0.41 eV/atom
# Size of the total moment: 0.000 μB per atom
# Energy relative to the lowest polymorph listed for this composition: 628.9 meV/atom
data_ScTaAl
_chemical_formula_sum 'Sc4 Ta4 Al4'
_cell_length_a 6.362
_cell_length_b 6.362
_cell_length_c 6.362
_cell_angle_alpha 90.00
_cell_angle_beta 90.00
_cell_angle_gamma 90.00
_symmetry_space_group_name_H-M 'F -4 3 m'
_symmetry_Int_Tables_number 216
_symmetry_space_group_name_Hall 'F -4 2 3'
loop_
_atom_site_label
_atom_site_type_symbol
_atom_site_fract_x
_atom_site_fract_y
_atom_site_fract_z
Sc1 Sc 0.000 0.000 0.000
Ta1 Ta 0.000 0.000 0.500
Al1 Al 0.250 0.250 0.750

***

Record 2
# Li2La3Cu9 | Alexandria | GGA-PBE | optimized geometry
# Crystal system: orthorhombic
# Energy of formation: -0.14 eV/atom
# Size of the total moment: 0.000 μB per atom
data_Li2La3Cu9
_chemical_formula_sum 'Li4 La6 Cu18'
_cell_length_a 4.336
_cell_length_b 8.842
_cell_length_c 12.981
_cell_angle_alpha 90.00
_cell_angle_beta 90.00
_cell_angle_gamma 90.00
_symmetry_space_group_name_H-M 'I m m m'
_symmetry_Int_Tables_number 71
_symmetry_space_group_name_Hall '-I 2 2'
loop_
_atom_site_label
_atom_site_type_symbol
_atom_site_fract_x
_atom_site_fract_y
_atom_site_fract_z
Li1 Li 0.000 0.194 0.000
La1 La 0.000 0.000 0.208
La2 La 0.000 0.000 0.500
Cu1 Cu 0.000 0.286 0.374
Cu2 Cu 0.000 0.352 0.167
Cu3 Cu 0.000 0.500 0.500

***

Record 3
# SrHoTm | Alexandria | GGA-PBE | optimized geometry
# Crystal system: tetragonal
# Energy of formation: 0.15 eV/atom
# Size of the total moment: 0.000 μB per atom
# Energy relative to the lowest polymorph listed for this composition: 0.0 meV/atom
data_SrHoTm
_chemical_formula_sum 'Sr2 Ho2 Tm2'
_cell_length_a 3.701
_cell_length_b 3.701
_cell_length_c 15.924
_cell_angle_alpha 90.00
_cell_angle_beta 90.00
_cell_angle_gamma 90.00
_symmetry_space_group_name_H-M 'I 4 m m'
_symmetry_Int_Tables_number 107
_symmetry_space_group_name_Hall 'I 4 -2'
loop_
_atom_site_label
_atom_site_type_symbol
_atom_site_fract_x
_atom_site_fract_y
_atom_site_fract_z
Sr1 Sr 0.000 0.000 0.000
Ho1 Ho 0.000 0.000 0.318
Tm1 Tm 0.000 0.000 0.681

***

Record 4
# SrIn2Ge | Alexandria | GGA-PBE | optimized geometry
# Crystal system: orthorhombic
# Energy of formation: -0.27 eV/atom
# Size of the total moment: 0.000 μB per atom
data_SrIn2Ge
_chemical_formula_sum 'Sr4 In8 Ge4'
_cell_length_a 7.621
_cell_length_b 4.777
_cell_length_c 12.247
_cell_angle_alpha 90.00
_cell_angle_beta 90.00
_cell_angle_gamma 90.00
_symmetry_space_group_name_H-M 'A m m 2'
_symmetry_Int_Tables_number 38
_symmetry_space_group_name_Hall 'A 2 -2'
loop_
_atom_site_label
_atom_site_type_symbol
_atom_site_fract_x
_atom_site_fract_y
_atom_site_fract_z
Sr1 Sr 0.000 0.000 0.000
Sr2 Sr 0.500 0.000 0.161
In1 In 0.000 0.000 0.285
In2 In 0.304 0.000 0.461
In3 In 0.500 0.000 0.861
Ge1 Ge 0.179 0.000 0.681

***

Record 5
# BaPmSe3 | Alexandria | GGA-PBE | optimized geometry
# Crystal system: trigonal
# Formation energy without anion corrections: -34.86 kcal/mol of atoms
# Size of the total moment: 0.000 μB per atom
data_BaPmSe3
_chemical_formula_sum 'Ba3 Pm3 Se9'
_cell_length_a 7.6615
_cell_length_b 7.6615
_cell_length_c 10.7585
_cell_angle_alpha 90.00
_cell_angle_beta 90.00
_cell_angle_gamma 120.00
_symmetry_space_group_name_H-M 'R 3 m'
_symmetry_Int_Tables_number 160
_symmetry_space_group_name_Hall 'R 3 -2"'
loop_
_atom_site_label
_atom_site_type_symbol
_atom_site_fract_x
_atom_site_fract_y
_atom_site_fract_z
Ba1 Ba 0.0000 0.0000 0.0000
Pm1 Pm 0.0000 0.0000 0.5795
Se1 Se 0.1718 0.3436 0.4233

***

Record 6
# PmNd2Sm2Y | Alexandria | GGA-PBE | optimized geometry
# Crystal system: orthorhombic
# Energy of formation: 0.05 eV/atom
# Size of the total moment: 0.000 μB per atom
data_PmNd2Sm2Y
_chemical_formula_sum 'Pm2 Nd4 Sm4 Y2'
_cell_length_a 7.121
_cell_length_b 5.747
_cell_length_c 9.946
_cell_angle_alpha 90.00
_cell_angle_beta 90.00
_cell_angle_gamma 90.00
_symmetry_space_group_name_H-M 'P m m a'
_symmetry_Int_Tables_number 51
_symmetry_space_group_name_Hall '-P 2a 2a'
loop_
_atom_site_label
_atom_site_type_symbol
_atom_site_fract_x
_atom_site_fract_y
_atom_site_fract_z
Pm1 Pm 0.250 0.000 0.161
Nd1 Nd 0.000 0.000 0.500
Nd2 Nd 0.250 0.500 0.674
Sm1 Sm 0.250 0.000 0.831
Sm2 Sm 0.250 0.500 0.336
Y1 Y 0.000 0.500 0.000

***

Record 7
# DyYNbN3 | Alexandria | GGA-PBE | optimized geometry
# Crystal system: monoclinic
# Formation energy without anion corrections: -32.51 kcal/mol of atoms
# Size of the total moment: 0.000 μB per atom
data_DyYNbN3
_chemical_formula_sum 'Dy2 Y2 Nb2 N6'
_cell_length_a 5.761
_cell_length_b 3.338
_cell_length_c 8.637
_cell_angle_alpha 90.00
_cell_angle_beta 102.80
_cell_angle_gamma 90.00
_symmetry_space_group_name_H-M 'P 1 21/m 1'
_symmetry_Int_Tables_number 11
_symmetry_space_group_name_Hall '-P 2yb'
loop_
_atom_site_label
_atom_site_type_symbol
_atom_site_fract_x
_atom_site_fract_y
_atom_site_fract_z
Dy1 Dy 0.153 0.250 0.187
Y1 Y 0.269 0.750 0.548
Nb1 Nb 0.364 0.250 0.867
N1 N 0.059 0.250 0.682
N2 N 0.248 0.750 0.988
N3 N 0.452 0.750 0.326

***

Record 8
# CsGeTeN2 | Alexandria | GGA-PBE | optimized geometry
# Crystal system: tetragonal
# Formation energy without anion corrections: 29.51 kcal/mol of atoms
# Size of the total moment: 0.669 μB per atom
# Energy relative to the lowest polymorph listed for this composition: 0.0 meV/atom
data_CsGeTeN2
_chemical_formula_sum 'Cs1 Ge1 Te1 N2'
_cell_length_a 4.704
_cell_length_b 4.704
_cell_length_c 5.538
_cell_angle_alpha 90.00
_cell_angle_beta 90.00
_cell_angle_gamma 90.00
_symmetry_space_group_name_H-M 'P 4/m m m'
_symmetry_Int_Tables_number 123
_symmetry_space_group_name_Hall '-P 4 2'
loop_
_atom_site_label
_atom_site_type_symbol
_atom_site_fract_x
_atom_site_fract_y
_atom_site_fract_z
Cs1 Cs 0.000 0.000 0.000
Ge1 Ge 0.500 0.500 0.500
Te1 Te 0.500 0.500 0.000
N1 N 0.000 0.500 0.500